# 1
NbZn4Rh5 | PBE | optimized geometry

The calculation puts the energy of formation from the pure elements at -0.4228 eV/atom. Its total energy is -5.62 eV per atom. The magnetic moment comes out at 0.0 μB per cell.

The space group is P4/mmm (No. 123) and the conventional cell measures 3.0999, 3.0999 and 14.9548 Å, with angles of 90.00, 90.00 and 90.00 degrees. The distinct sites, in fractional coordinates, are Nb at (0.0000, 0.0000, 0.0000), Zn at (0.0000, 0.0000, 0.2100), Zn at (0.0000, 0.0000, 0.4026), Rh at (0.5000, 0.5000, 0.1054), Rh at (0.5000, 0.5000, 0.3028) and Rh at (0.5000, 0.5000, 0.5000).

# 2
BeAsRuRh | PBE | optimized geometry

The calculation puts the energy of formation from the pure elements at -0.3328 eV/atom. Its total energy is -6.58 eV per atom. The magnetic moment comes out at 0.0 μB per cell.

The space group is F-43m (No. 216) and the conventional cell measures 5.8703, 5.8703 and 5.8703 Å, with angles of 90.00, 90.00 and 90.00 degrees. The distinct sites, in fractional coordinates, are Be at (0.0000, 0.0000, 0.0000), As at (0.0000, 0.0000, 0.5000), Ru at (0.2500, 0.2500, 0.2500) and Rh at (0.2500, 0.2500, 0.7500).

# 3
AcLa4Ni | PBE | optimized geometry

The calculation puts the energy of formation from the pure elements at -0.0656 eV/atom. Its total energy is -5.00 eV per atom. The magnetic moment comes out at 0.0 μB per cell.

The space group is C2/c (No. 15) and the conventional cell measures 17.5255, 6.7064 and 7.5225 Å, with angles of 90.00, 107.20 and 90.00 degrees. The distinct sites, in fractional coordinates, are Ac at (0.0000, 0.0530, 0.2500), La at (0.0984, 0.4164, 0.0054), La at (0.1940, 0.0851, 0.6364) and Ni at (0.2500, 0.2500, 0.0000).

# 4
BaLiCa2Rh | PBE | optimized geometry

The calculation puts the energy of formation from the pure elements at -0.0901 eV/atom. Its total energy is -3.13 eV per atom. The energy above the most stable polymorph in this dataset is 0.038 eV/atom. The magnetic moment comes out at 0.0 μB per cell.

The space group is P4/mmm (No. 123) and the conventional cell measures 5.5042, 5.5042 and 5.4754 Å, with angles of 90.00, 90.00 and 90.00 degrees. The distinct sites, in fractional coordinates, are Ba at (0.0000, 0.0000, 0.0000), Li at (0.5000, 0.5000, 0.0000), Ca at (0.0000, 0.5000, 0.5000) and Rh at (0.5000, 0.5000, 0.5000).